[1]
Density functional theory data (PBE-GGA) for a relaxed NdTeN3 crystal.

Output
magnetic moment: 0.000 μB/f.u.
E_tot: -6.495 eV per atom
crystal system: orthorhombic

Geometry as POSCAR:
```
NdTeN3
1.0
-2.825 4.017 2.879
2.825 -4.017 2.879
2.825 4.017 -2.879
Nd Te N
2 2 6
Cartesian
0.000 2.008 0.077
2.825 2.008 2.802
2.825 0.000 0.000
0.000 0.000 2.879
2.825 2.008 -0.504
1.413 4.449 -1.440
1.413 0.432 1.440
-1.413 3.585 1.440
1.413 3.585 1.440
0.000 2.008 3.383
```

[2]
Density functional theory data (PBE-GGA) for a relaxed Nd4Te3N2 crystal.

Output
magnetic moment: 0.001 μB/f.u.
E_tot: -6.522 eV per atom
crystal system: orthorhombic

Geometry as POSCAR:
```
Nd4Te3N2
1.0
7.393 0.000 0.000
0.000 11.733 0.000
0.000 0.000 11.388
Nd Te N
16 12 8
Cartesian
0.671 2.933 1.818
1.076 0.586 10.135
1.076 5.281 10.135
1.693 2.933 6.048
2.003 8.800 0.354
2.621 6.452 4.441
2.621 11.147 4.441
3.025 8.800 7.512
4.368 2.933 3.876
4.772 0.586 6.948
4.772 5.281 6.948
5.390 2.933 11.035
5.700 8.800 5.341
6.317 6.452 1.254
6.317 11.147 1.254
6.722 8.800 9.571
0.488 6.790 7.234
0.488 10.809 7.234
0.611 8.800 3.124
3.085 2.933 8.819
3.209 0.923 1.540
3.209 4.943 1.540
4.184 6.790 9.848
4.184 10.809 9.848
4.307 8.800 2.570
6.782 2.933 8.264
6.905 0.923 4.154
6.905 4.943 4.154
0.393 7.297 11.016
0.393 10.302 11.016
3.304 1.430 5.322
3.304 4.436 5.322
4.089 7.297 6.066
4.089 10.302 6.066
7.000 1.430 0.372
7.000 4.436 0.372
```

[3]
Density functional theory data (PBE-GGA) for a relaxed Nd3TeN2 crystal.

Output
magnetic moment: 0.002 μB/f.u.
E_tot: -7.023 eV per atom
crystal system: trigonal

Geometry as POSCAR:
```
Nd3TeN2
1.0
3.795 0.000 0.000
-1.898 3.287 0.000
0.000 0.000 10.181
Nd Te N
3 1 2
Cartesian
0.000 0.000 0.000
0.000 2.191 2.785
1.898 1.096 7.396
0.000 0.000 5.091
0.000 2.191 8.656
1.898 1.096 1.526
```

[4]
Density functional theory data (PBE-GGA) for a relaxed Nd3Te2N crystal.

Output
magnetic moment: 0.016 μB/f.u.
E_tot: -6.119 eV per atom
crystal system: trigonal

Geometry as POSCAR:
```
Nd3Te2N
1.0
4.017 0.000 0.000
-2.009 3.479 0.000
0.000 0.000 11.262
Nd Te N
3 2 1
Cartesian
0.000 0.000 0.000
0.000 2.319 4.325
2.009 1.160 6.937
0.000 2.319 9.146
2.009 1.160 2.116
0.000 0.000 5.631
```

[5]
Density functional theory data (PBE-GGA) for a relaxed Nd2ThN3 crystal.

Output
magnetic moment: 0.004 μB/f.u.
E_tot: -8.478 eV per atom
crystal system: orthorhombic

Geometry as POSCAR:
```
Nd2ThN3
1.0
-1.824 2.572 5.458
1.824 -2.572 5.458
1.824 2.572 -5.458
Nd Th N
2 1 3
Cartesian
0.000 0.000 1.825
0.000 0.000 9.091
0.000 0.000 5.458
1.824 0.000 0.000
1.824 0.000 3.746
0.000 2.572 1.712
```

[6]
Density functional theory data (PBE-GGA) for a relaxed Nd2TmN3 crystal.

Output
magnetic moment: 0.002 μB/f.u.
E_tot: -7.975 eV per atom
crystal system: trigonal

Geometry as POSCAR:
```
Nd2TmN3
1.0
3.552 0.000 0.000
-1.776 3.076 0.000
0.000 0.000 8.714
Nd Tm N
2 1 3
Cartesian
0.000 2.051 2.850
1.776 1.025 5.864
0.000 0.000 0.000
0.000 0.000 4.357
0.000 2.051 7.377
1.776 1.025 1.337
```

[7]
Density functional theory data (PBE-GGA) for a relaxed NdTm2N3 crystal.

Output
magnetic moment: 0.001 μB/f.u.
E_tot: -8.082 eV per atom
crystal system: trigonal

Geometry as POSCAR:
```
NdTm2N3
1.0
3.469 0.000 0.000
-1.734 3.004 0.000
0.000 0.000 8.518
Nd Tm N
1 2 3
Cartesian
0.000 0.000 0.000
0.000 2.003 2.895
1.734 1.001 5.624
0.000 0.000 4.259
0.000 2.003 6.978
1.734 1.001 1.540
```

[8]
Density functional theory data (PBE-GGA) for a relaxed Nd2UN3 crystal.

Output
magnetic moment: 1.383 μB/f.u.
E_tot: -9.009 eV per atom
crystal system: trigonal

Geometry as POSCAR:
```
Nd2UN3
1.0
3.543 0.000 0.000
-1.772 3.069 0.000
0.000 0.000 8.787
Nd U N
2 1 3
Cartesian
0.000 2.046 2.946
1.772 1.023 5.841
0.000 0.000 0.000
0.000 0.000 4.393
0.000 2.046 7.591
1.772 1.023 1.196
```